Entry 1:
Here is HgAsAu3 after structural relaxation from Alexandria via LeMat-Bulk. Energies are from PBE.

Calculated values
- polymorph energy (0 for the lowest one) (eV per atom) = 0.000
- uncorrected energy (eV per cell) = -13.473

Cell lengths 4.9949, 4.9949, 4.9949 Å; angles 90.00, 90.00, 90.00 degrees
Element x y z (fractional)
Hg 0.0000 0.0000 0.0000
As 0.5000 0.5000 0.5000
Au 0.0000 0.5000 0.5000
Au 0.5000 0.0000 0.5000
Au 0.5000 0.5000 0.0000


Entry 2:
Here is ScCrCd2B after structural relaxation from Alexandria via LeMat-Bulk. Energies are from PBE.

Calculated values
- uncorrected energy (eV per cell) = -17.007

Cell lengths 5.0748, 5.0748, 4.4489 Å; angles 90.00, 90.00, 90.00 degrees
Element x y z (fractional)
Sc 0.0000 0.0000 0.0000
Cr 0.0000 0.0000 0.5000
Cd 0.0000 0.5000 0.5000
Cd 0.5000 0.0000 0.5000
B 0.5000 0.5000 0.0000


Entry 3:
Here is Sr2LaSi after structural relaxation from Alexandria via LeMat-Bulk. Energies are from PBE.

Calculated values
- uncorrected energy (eV per cell) = -14.397
- formation energy without anion corrections (meV/atom) = -171

Cell lengths 8.9514, 8.9514, 8.9514 Å; angles 154.67, 148.91, 40.51 degrees
Element x y z (fractional)
Sr 0.1627 0.1627 0.0000
Sr 0.8373 0.8373 0.0000
La 0.5000 0.0000 0.5000
Si 0.0000 0.5000 0.5000


Entry 4:
Here is NbP2Pd after structural relaxation from Alexandria via LeMat-Bulk. Energies are from PBE.

Calculated values
- uncorrected energy (eV per cell) = -27.501

Cell lengths 6.8885, 6.8885, 6.8885 Å; angles 28.42, 28.42, 28.42 degrees
Element x y z (fractional)
Nb 0.0000 0.0000 0.0000
P 0.4122 0.4122 0.4122
P 0.5812 0.5812 0.5812
Pd 0.1521 0.1521 0.1521


Entry 5:
Here is PrErInPb after structural relaxation from Alexandria via LeMat-Bulk. Energies are from PBE.

Calculated values
- polymorph energy (0 for the lowest one) (eV per atom) = 0.000
- uncorrected energy (eV per cell) = -17.609

Cell lengths 5.7398, 5.7398, 5.7398 Å; angles 127.99, 127.99, 76.64 degrees
Element x y z (fractional)
Pr 0.0000 0.0000 0.0000
Er 0.5000 0.5000 0.0000
In 0.2500 0.7500 0.5000
Pb 0.7500 0.2500 0.5000


Entry 6:
Here is MgPdSe after structural relaxation from Alexandria via LeMat-Bulk. Energies are from PBE.

Calculated values
- uncorrected energy (eV per cell) = -22.746
- formation energy without anion corrections (meV/atom) = -367

Cell lengths 4.4038, 4.4038, 9.6182 Å; angles 90.00, 90.00, 120.00 degrees
Element x y z (fractional)
Mg 0.3333 0.6667 0.2500
Mg 0.6667 0.3333 0.7500
Pd 0.0000 0.0000 0.0000
Pd 0.0000 0.0000 0.5000
Se 0.0000 0.0000 0.2500
Se 0.0000 0.0000 0.7500


Entry 7:
Here is Pr2ZnHPd6 after structural relaxation from Alexandria via LeMat-Bulk. Energies are from PBE.

Calculated values
- uncorrected energy (eV per cell) = -51.700

Cell lengths 5.7914, 5.8002, 6.8987 Å; angles 65.18, 65.47, 60.14 degrees
Element x y z (fractional)
Pr 0.2280 0.2292 0.3170
Pr 0.7720 0.7708 0.6830
Zn 0.5000 0.5000 0.5000
H 0.0000 0.0000 0.0000
Pd 0.2280 0.7280 0.8138
Pd 0.2290 0.2274 0.8111
Pd 0.2686 0.7736 0.1880
Pd 0.7314 0.2264 0.8120
Pd 0.7710 0.7726 0.1889
Pd 0.7720 0.2720 0.1862


Entry 8:
Here is Th4Bi2C after structural relaxation from Alexandria via LeMat-Bulk. Energies are from PBE.

Calculated values
- polymorph energy (0 for the lowest one) (eV per atom) = 0.000
- uncorrected energy (eV per cell) = -49.401

Cell lengths 9.1148, 9.1148, 9.1148 Å; angles 148.30, 148.30, 45.45 degrees
Element x y z (fractional)
Th 0.0000 0.5000 0.5000
Th 0.1545 0.1545 0.0000
Th 0.5000 0.0000 0.5000
Th 0.8455 0.8455 0.0000
Bi 0.3551 0.3551 0.0000
Bi 0.6449 0.6449 0.0000
C 0.0000 0.0000 0.0000


Number 1: calculated volume 24.92 Å³/atom. Number 2: calculated volume 22.91 Å³/atom. Number 3: calculated volume 39.53 Å³/atom. Number 4: calculated volume 16.36 Å³/atom. Number 5: calculated volume 28.52 Å³/atom. Number 6: calculated volume 26.92 Å³/atom. Number 7: calculated volume 17.60 Å³/atom. Number 8: calculated volume 29.78 Å³/atom.